# 1
The following is a GGA-PBE calculation of a geometry-optimized Al2HgPb structure, from Alexandria via LeMat-Bulk.

Calculated values
- Total magnetization: 0.00 μB per formula unit
- Final energy: -2.728 eV per atom
- Formation enthalpy at 0 K: 0.146 eV per atom

Cell: 3.239 3.239 8.753 Å, 90.00 90.00 90.00°
Space group P4mm (No. 99)
Symmetry-distinct sites (fractional):
Al: 0.000 0.000 0.000 (multiplicity 1)
Al: 0.500 0.500 0.186 (multiplicity 1)
Hg: 0.000 0.000 0.419 (multiplicity 1)
Pb: 0.500 0.500 0.737 (multiplicity 1)


# 2
The following is a GGA-PBE calculation of a geometry-optimized LaTiCoP2 structure, from Alexandria via LeMat-Bulk.

Calculated values
- Total magnetization: 0.00 μB per formula unit
- Final energy: -7.220 eV per atom
- Formation enthalpy at 0 K: -1.070 eV per atom

Cell: 3.844 3.844 11.958 Å, 90.00 90.00 90.00°
Space group I-4m2 (No. 119)
Symmetry-distinct sites (fractional):
La: 0.000 0.000 0.000 (multiplicity 2)
Ti: 0.000 0.500 0.250 (multiplicity 2)
Co: 0.000 0.500 0.750 (multiplicity 2)
P: 0.000 0.000 0.367 (multiplicity 4)


# 3
The following is a GGA-PBE calculation of a geometry-optimized Li2SnPb structure, from Alexandria via LeMat-Bulk.

Calculated values
- Total magnetization: 0.00 μB per formula unit
- Final energy: -3.100 eV per atom
- Formation enthalpy at 0 K: -0.215 eV per atom

Cell: 3.3492 3.3492 28.0790 Å, 90.00 90.00 120.00°
Space group R3m (No. 160, hexagonal axes)
Symmetry-distinct sites (fractional):
Li: 0.0000 0.0000 0.0000 (multiplicity 3)
Li: 0.0000 0.0000 0.1722 (multiplicity 3)
Sn: 0.0000 0.0000 0.5857 (multiplicity 3)
Pb: 0.0000 0.0000 0.4201 (multiplicity 3)


# 4
The following is a GGA-PBE calculation of a geometry-optimized Cs2GeF4 structure, from Alexandria via LeMat-Bulk.

Calculated values
- E_form (uncorrected): -2.509 eV/atom
- Total magnetization: 0.12 μB per formula unit
- Final energy: -4.482 eV per atom

Cell: 7.617 5.886 9.589 Å, 90.00 105.19 90.00°
Space group P2_1/m (No. 11)
Symmetry-distinct sites (fractional):
Cs: 0.169 0.250 0.126 (multiplicity 2)
Cs: 0.237 0.750 0.450 (multiplicity 2)
Ge: 0.347 0.250 0.760 (multiplicity 2)
F: 0.055 0.750 0.154 (multiplicity 2)
F: 0.180 0.250 0.576 (multiplicity 2)
F: 0.485 0.020 0.705 (multiplicity 4)


# 5
The following is a GGA-PBE calculation of a geometry-optimized Pm2Pa2Te2S5 structure, from Alexandria via LeMat-Bulk.

Calculated values
- E_form (uncorrected): -1.497 eV/atom
- Total magnetization: 0.03 μB per formula unit
- Final energy: -6.535 eV per atom

Cell: 5.230 5.230 25.801 Å, 90.00 90.00 90.00°
Space group I4/mmm (No. 139)
Symmetry-distinct sites (fractional):
Pm: 0.000 0.000 0.162 (multiplicity 4)
Pa: 0.000 0.000 0.399 (multiplicity 4)
Te: 0.000 0.000 0.283 (multiplicity 4)
S: 0.000 0.000 0.500 (multiplicity 2)
S: 0.000 0.500 0.112 (multiplicity 8)


# 6
The following is a GGA-PBE calculation of a geometry-optimized LaAs4Cl structure, from Alexandria via LeMat-Bulk.

Calculated values
- E_form (uncorrected): -0.527 eV/atom
- Total magnetization: 0.00 μB per formula unit
- Final energy: -4.756 eV per atom

Cell: 8.067 8.067 8.067 Å, 90.00 90.00 90.00°
Space group F-43m (No. 216)
Symmetry-distinct sites (fractional):
La: 0.000 0.000 0.000 (multiplicity 4)
As: 0.121 0.121 0.621 (multiplicity 16)
Cl: 0.250 0.250 0.250 (multiplicity 4)


# 7
The following is a GGA-PBE calculation of a geometry-optimized Tb2CeCl8 structure, from Alexandria via LeMat-Bulk.

Calculated values
- E_form (uncorrected): -2.069 eV/atom
- Total magnetization: 2.04 μB per formula unit
- Final energy: -4.793 eV per atom

Cell: 8.415 12.302 5.329 Å, 90.00 104.82 90.00°
Space group C2/m (No. 12)
Symmetry-distinct sites (fractional):
Tb: 0.000 0.182 0.000 (multiplicity 4)
Ce: 0.000 0.500 0.500 (multiplicity 2)
Cl: 0.000 0.259 0.500 (multiplicity 4)
Cl: 0.124 0.000 0.307 (multiplicity 4)
Cl: 0.193 0.369 0.081 (multiplicity 8)


# 8
The following is a GGA-PBE calculation of a geometry-optimized K4Pu3MnSe8 structure, from Alexandria via LeMat-Bulk.

Calculated values
- E_form (uncorrected): -1.252 eV/atom
- Total magnetization: 9.45 μB per formula unit
- Final energy: -6.529 eV per atom

Cell: 14.687 8.416 9.046 Å, 90.00 122.73 90.00°
Space group C2/m (No. 12)
Symmetry-distinct sites (fractional):
K: 0.000 0.000 0.000 (multiplicity 2)
K: 0.000 0.500 0.000 (multiplicity 2)
K: 0.250 0.250 0.000 (multiplicity 4)
Pu: 0.000 0.000 0.500 (multiplicity 2)
Pu: 0.250 0.250 0.500 (multiplicity 4)
Mn: 0.000 0.500 0.500 (multiplicity 2)
Se: 0.014 0.260 0.302 (multiplicity 8)
Se: 0.231 0.500 0.699 (multiplicity 4)
Se: 0.236 0.000 0.707 (multiplicity 4)


# 9
The following is a GGA-PBE calculation of a geometry-optimized ZnCr2Fe structure, from Alexandria via LeMat-Bulk.

Calculated values
- Total magnetization: 0.22 μB per formula unit
- Final energy: -7.023 eV per atom
- Formation enthalpy at 0 K: 0.223 eV per atom

Cell: 2.5398 2.5398 25.5415 Å, 90.00 90.00 120.00°
Space group R-3m (No. 166, hexagonal axes)
Symmetry-distinct sites (fractional):
Zn: 0.0000 0.0000 0.0000 (multiplicity 3)
Cr: 0.0000 0.0000 0.2444 (multiplicity 6)
Fe: 0.0000 0.0000 0.5000 (multiplicity 3)


# 10
The following is a GGA-PBE calculation of a geometry-optimized KSmY2Te4 structure, from Alexandria via LeMat-Bulk.

Calculated values
- E_form (uncorrected): -1.342 eV/atom
- Total magnetization: 0.00 μB per formula unit
- Final energy: -5.256 eV per atom

Cell: 7.820 4.411 7.846 Å, 90.00 108.38 90.00°
Space group P2/m (No. 10)
Symmetry-distinct sites (fractional):
K: 0.000 0.000 0.000 (multiplicity 1)
Sm: 0.500 0.500 0.000 (multiplicity 1)
Y: 0.000 0.500 0.500 (multiplicity 1)
Y: 0.500 0.000 0.500 (multiplicity 1)
Te: 0.252 0.000 0.739 (multiplicity 2)
Te: 0.264 0.500 0.269 (multiplicity 2)


# 11
The following is a GGA-PBE calculation of a geometry-optimized NaAgPdO2 structure, from Alexandria via LeMat-Bulk.

Calculated values
- E_form (uncorrected): -0.499 eV/atom
- Total magnetization: 0.00 μB per formula unit
- Final energy: -4.355 eV per atom

Cell: 6.208 12.724 4.690 Å, 90.00 90.00 90.00°
Space group Cmme (No. 67)
Symmetry-distinct sites (fractional):
Na: 0.000 0.250 0.231 (multiplicity 4)
Ag: 0.000 0.000 0.500 (multiplicity 4)
Pd: 0.250 0.000 0.000 (multiplicity 4)
O: 0.000 0.105 0.983 (multiplicity 8)


# 12
The following is a GGA-PBE calculation of a geometry-optimized MnHg2Te structure, from Alexandria via LeMat-Bulk.

Calculated values
- E_form (uncorrected): 0.074 eV/atom
- Total magnetization: 4.50 μB per formula unit
- Final energy: -3.155 eV per atom

Cell: 4.1233 4.1233 22.8134 Å, 90.00 90.00 120.00°
Space group R3m (No. 160, hexagonal axes)
Symmetry-distinct sites (fractional):
Mn: 0.0000 0.0000 0.0000 (multiplicity 3)
Hg: 0.0000 0.0000 0.2565 (multiplicity 3)
Hg: 0.0000 0.0000 0.5014 (multiplicity 3)
Te: 0.0000 0.0000 0.7225 (multiplicity 3)